Run a
The following is a PBE calculation of an optimized crystal structure of HgI, from the Open Quantum Materials Database.

a = 6.484 Å, b = 6.484 Å, c = 6.484 Å
α = 90.00°, β = 90.00°, γ = 90.00°
Space group Fm-3m (No. 225)
Inequivalent atoms, fractional coordinates:
Hg 0.000 0.000 0.000
I 0.000 0.000 0.500

---

Run b
The following is a PBE calculation of an optimized crystal structure of HgI, from the Open Quantum Materials Database.

a = 3.6059 Å, b = 3.6059 Å, c = 5.8608 Å
α = 90.00°, β = 90.00°, γ = 120.00°
Space group P-6m2 (No. 187)
Inequivalent atoms, fractional coordinates:
Hg 0.0000 0.0000 0.0000
I 0.6667 0.3333 0.5000

---

Name the least stable of them. run b.

---

Run a
The following is a PBE calculation of an optimized crystal structure of Cu9Ag, from the Open Quantum Materials Database.

a = 4.492 Å, b = 12.988 Å, c = 4.497 Å
α = 90.00°, β = 109.35°, γ = 90.00°
Space group C2/m (No. 12)
Inequivalent atoms, fractional coordinates:
Cu 0.000 0.000 0.000
Cu 0.000 0.104 0.500
Cu 0.000 0.200 0.000
Cu 0.000 0.296 0.500
Cu 0.000 0.395 0.000
Ag 0.000 0.500 0.500

---

Run b
The following is a PBE calculation of an optimized crystal structure of Cu9Ag, from the Open Quantum Materials Database.

a = 2.626 Å, b = 3.578 Å, c = 13.184 Å
α = 90.00°, β = 90.00°, γ = 90.00°
Space group Pmmm (No. 47)
Inequivalent atoms, fractional coordinates:
Cu 0.000 0.000 0.000
Cu 0.000 0.000 0.192
Cu 0.000 0.000 0.383
Cu 0.500 0.500 0.096
Cu 0.500 0.500 0.289
Ag 0.500 0.500 0.500

---

Name the least stable of them. run a.

---

Run a
The following is a PBE calculation of an optimized crystal structure of Tc, from the Open Quantum Materials Database.

a = 9.493 Å, b = 9.493 Å, c = 9.493 Å
α = 90.00°, β = 90.00°, γ = 90.00°
Space group I-43m (No. 217)
Inequivalent atoms, fractional coordinates:
Tc 0.000 0.000 0.000
Tc 0.042 0.358 0.642
Tc 0.090 0.090 0.718
Tc 0.179 0.179 0.179

---

Run b
The following is a PBE calculation of an optimized crystal structure of Tc, from the Open Quantum Materials Database.

a = 3.876 Å, b = 3.876 Å, c = 3.876 Å
α = 90.00°, β = 90.00°, γ = 90.00°
Space group Fm-3m (No. 225)
Inequivalent atoms, fractional coordinates:
Tc 0.000 0.000 0.000

---

Name the least stable of them. run b.

---

Run a
The following is a PBE calculation of an optimized crystal structure of DyZnB, from the Open Quantum Materials Database.

a = 5.877 Å, b = 5.877 Å, c = 5.877 Å
α = 90.00°, β = 90.00°, γ = 90.00°
Space group F-43m (No. 216)
Inequivalent atoms, fractional coordinates:
Dy 0.000 0.000 0.000
Zn 0.000 0.000 0.500
B 0.250 0.250 0.250

---

Run b
The following is a PBE calculation of an optimized crystal structure of DyZnB, from the Open Quantum Materials Database.

a = 5.950 Å, b = 5.950 Å, c = 5.950 Å
α = 90.00°, β = 90.00°, γ = 90.00°
Space group F-43m (No. 216)
Inequivalent atoms, fractional coordinates:
Dy 0.000 0.000 0.000
Zn 0.250 0.250 0.750
B 0.000 0.000 0.500

---

Name the least stable of them. run b.

---

Run a
The following is a PBE calculation of an optimized crystal structure of ScZnInTe3, from the Open Quantum Materials Database.

a = 18.930 Å, b = 4.194 Å, c = 9.126 Å
α = 90.00°, β = 102.13°, γ = 90.00°
Space group C2/m (No. 12)
Inequivalent atoms, fractional coordinates:
Sc 0.174 0.000 0.078
Zn 0.032 0.500 0.217
In 0.136 0.000 0.568
Te 0.000 0.000 0.000
Te 0.000 0.500 0.500
Te 0.170 0.500 0.856
Te 0.178 0.500 0.305

---

Run b
The following is a PBE calculation of an optimized crystal structure of ScZnInTe3, from the Open Quantum Materials Database.

a = 15.267 Å, b = 4.235 Å, c = 11.329 Å
α = 90.00°, β = 90.00°, γ = 90.00°
Space group Pnma (No. 62)
Inequivalent atoms, fractional coordinates:
Sc 0.023 0.250 0.157
Zn 0.017 0.750 0.399
In 0.239 0.250 0.453
Te 0.092 0.750 0.621
Te 0.098 0.250 0.923
Te 0.145 0.750 0.240

---

Name the least stable of them. run a.

---

Run a
The following is a PBE calculation of an optimized crystal structure of LiHfPd2, from the Open Quantum Materials Database.

a = 4.4022 Å, b = 4.4022 Å, c = 8.1034 Å
α = 90.00°, β = 90.00°, γ = 120.00°
Space group P6_3/mmc (No. 194)
Inequivalent atoms, fractional coordinates:
Li 0.0000 0.0000 0.2500
Hf 0.3333 0.6667 0.2500
Pd 0.3333 0.6667 0.5858

---

Run b
The following is a PBE calculation of an optimized crystal structure of LiHfPd2, from the Open Quantum Materials Database.

a = 6.356 Å, b = 6.356 Å, c = 6.356 Å
α = 90.00°, β = 90.00°, γ = 90.00°
Space group F-43m (No. 216)
Inequivalent atoms, fractional coordinates:
Li 0.000 0.000 0.000
Hf 0.250 0.250 0.250
Pd 0.000 0.000 0.500
Pd 0.250 0.250 0.750

---

Name the least stable of them. run a.

---

Run a
The following is a PBE calculation of an optimized crystal structure of BeCo2Si, from the Open Quantum Materials Database.

a = 3.7063 Å, b = 3.7063 Å, c = 7.0833 Å
α = 90.00°, β = 90.00°, γ = 120.00°
Space group P6_3/mmc (No. 194)
Inequivalent atoms, fractional coordinates:
Be 0.0000 0.0000 0.0000
Co 0.3333 0.6667 0.0868
Si 0.3333 0.6667 0.7500

---

Run b
The following is a PBE calculation of an optimized crystal structure of BeCo2Si, from the Open Quantum Materials Database.

a = 3.776 Å, b = 3.776 Å, c = 2.694 Å
α = 90.00°, β = 90.00°, γ = 90.00°
Space group P4/mmm (No. 123)
Inequivalent atoms, fractional coordinates:
Be 0.000 0.000 0.000
Co 0.000 0.500 0.500
Si 0.500 0.500 0.000

---

Name the least stable of them. run a.

---

Run a
The following is a PBE calculation of an optimized crystal structure of LiPrAsO, from the Open Quantum Materials Database.

a = 4.750 Å, b = 4.750 Å, c = 6.871 Å
α = 90.00°, β = 90.00°, γ = 90.00°
Space group P4/nmm (No. 129, origin choice 2)
Inequivalent atoms, fractional coordinates:
Li 0.250 0.250 0.073
Pr 0.250 0.750 0.500
As 0.250 0.250 0.728
O 0.250 0.750 0.000

---

Run b
The following is a PBE calculation of an optimized crystal structure of LiPrAsO, from the Open Quantum Materials Database.

a = 3.771 Å, b = 7.564 Å, c = 6.013 Å
α = 90.00°, β = 90.00°, γ = 90.00°
Space group Pmc2_1 (No. 26)
Inequivalent atoms, fractional coordinates:
Li 0.000 0.081 0.000
Pr 0.500 0.283 0.376
As 0.500 0.321 0.873
O 0.000 0.129 0.324

---

Name the least stable of them. run a.

---

Run a
The following is a PBE calculation of an optimized crystal structure of GaOsNO, from the Open Quantum Materials Database.

a = 2.990 Å, b = 5.898 Å, c = 5.148 Å
α = 90.00°, β = 90.00°, γ = 90.00°
Space group Pmc2_1 (No. 26)
Inequivalent atoms, fractional coordinates:
Ga 0.000 0.125 0.000
Os 0.500 0.414 0.445
N 0.000 0.181 0.363
O 0.500 0.252 0.819

---

Run b
The following is a PBE calculation of an optimized crystal structure of GaOsNO, from the Open Quantum Materials Database.

a = 3.746 Å, b = 3.746 Å, c = 7.291 Å
α = 90.00°, β = 90.00°, γ = 90.00°
Space group P4/nmm (No. 129, origin choice 2)
Inequivalent atoms, fractional coordinates:
Ga 0.250 0.750 0.000
Os 0.250 0.250 0.384
N 0.250 0.250 0.898
O 0.250 0.750 0.500

---

Name the least stable of them. run b.

---

Run a
The following is a PBE calculation of an optimized crystal structure of PrGePO, from the Open Quantum Materials Database.

a = 4.517 Å, b = 4.634 Å, c = 6.948 Å
α = 90.00°, β = 90.00°, γ = 90.00°
Space group Pmc2_1 (No. 26)
Inequivalent atoms, fractional coordinates:
Pr 0.000 0.194 0.000
Ge 0.500 0.339 0.371
P 0.500 0.119 0.699
O 0.000 0.325 0.348

---

Run b
The following is a PBE calculation of an optimized crystal structure of PrGePO, from the Open Quantum Materials Database.

a = 4.217 Å, b = 4.217 Å, c = 8.866 Å
α = 90.00°, β = 90.00°, γ = 90.00°
Space group P4/nmm (No. 129, origin choice 2)
Inequivalent atoms, fractional coordinates:
Pr 0.250 0.250 0.127
Ge 0.250 0.750 0.500
P 0.250 0.250 0.675
O 0.250 0.750 0.000

---

Name the least stable of them. run a.

---

Run a
The following is a PBE calculation of an optimized crystal structure of AgPdCl3, from the Open Quantum Materials Database.

a = 6.754 Å, b = 9.503 Å, c = 6.533 Å
α = 90.00°, β = 90.00°, γ = 90.00°
Space group Pnma (No. 62)
Inequivalent atoms, fractional coordinates:
Ag 0.062 0.250 0.019
Pd 0.000 0.000 0.500
Cl 0.039 0.750 0.384
Cl 0.193 0.560 0.809

---

Run b
The following is a PBE calculation of an optimized crystal structure of AgPdCl3, from the Open Quantum Materials Database.

a = 6.9019 Å, b = 6.9019 Å, c = 16.8951 Å
α = 90.00°, β = 90.00°, γ = 120.00°
Space group R-3c (No. 167, hexagonal axes)
Inequivalent atoms, fractional coordinates:
Ag 0.0000 0.0000 0.0000
Pd 0.0000 0.0000 0.2500
Cl 0.0000 0.3387 0.2500

---

Name the least stable of them. run b.